Co2ReAu PBEsol relaxed; total energy = -31.49 eV per cell; energy above the lowest structure with this stoichiometry = 51 meV per atom; energy of formation = 1.2 eV/f.u.
1.0
-0.176 2.019 1.719
2.367 -2.344 2.996
2.987 2.311 -2.410
Re Co Au
1 2 1
Direct
0.500 0.000 0.000
0.000 0.500 0.000
0.000 0.000 0.500
0.500 0.500 0.500



Cs3MnBi PBEsol relaxed; total energy = -13.71 eV per cell; energy of formation = 3.2 eV/f.u.
1.0
7.394 0.000 0.000
0.000 7.394 0.000
0.000 0.000 7.394
Cs Mn Bi
3 1 1
Direct
0.000 0.000 0.500
0.000 0.500 0.000
0.500 0.000 0.000
0.500 0.500 0.500
0.000 0.000 0.000



Ba4B2N4O PBEsol relaxed; total energy = -153.35 eV per cell; energy relative to the elements, uncorrected = -1336 meV/atom
1.0
7.267 0.000 0.000
0.000 7.295 0.000
-3.633 0.000 7.842
N B Ba O
8 4 8 2
Direct
0.735 0.370 0.731
0.265 0.630 0.269
0.235 0.130 0.731
0.997 0.630 0.731
0.765 0.870 0.269
0.503 0.130 0.269
0.497 0.870 0.731
0.003 0.370 0.269
0.862 0.500 0.724
0.138 0.500 0.276
0.362 0.000 0.724
0.638 0.000 0.276
0.691 0.191 0.000
0.326 0.500 0.651
0.309 0.809 0.000
0.191 0.309 0.000
0.809 0.691 0.000
0.174 0.000 0.349
0.826 0.000 0.651
0.674 0.500 0.349
0.500 0.500 0.000
0.000 0.000 0.000



AlHgMo2 PBEsol relaxed; total energy = -27.34 eV per cell; energy above the lowest structure with this stoichiometry = 0 meV per atom; energy of formation = 0.9 eV/f.u.
1.0
-2.103 0.678 -2.489
0.276 -4.317 -1.409
-2.390 0.788 4.460
Hg Mo Al
1 2 1
Direct
0.244 0.744 0.489
0.744 0.244 0.487
0.017 0.017 0.033
0.495 0.495 0.991



MgBi2O4 PBEsol relaxed; total energy = -85.35 eV per cell; energy relative to the elements, uncorrected = -1627 meV/atom
1.0
3.362 0.000 0.000
1.681 6.442 0.014
1.681 2.600 9.540
O Bi Mg
8 4 2
Direct
0.905 0.928 0.262
0.095 0.072 0.738
0.596 0.570 0.238
0.278 0.343 0.100
0.404 0.430 0.762
0.778 0.844 0.600
0.222 0.156 0.400
0.722 0.657 0.900
0.389 0.813 0.410
0.888 0.314 0.909
0.611 0.187 0.590
0.112 0.686 0.091
0.250 0.751 0.750
0.750 0.249 0.250



ScOs PBEsol relaxed; total energy = -38.90 eV per cell; energy of formation = -0.6 eV/f.u.
1.0
3.118 0.000 0.000
0.000 4.432 0.000
-1.559 -2.216 4.720
Sc Os
2 2
Direct
0.385 0.135 0.769
0.615 0.865 0.231
0.137 0.387 0.273
0.863 0.613 0.727



Look up the total energy of the second one.
-13.71 eV per cell



The lowest total energy belongs to which entry?
Ba4B2N4O



Among the records above, which one has the highest total energy?
Cs3MnBi